{
  "formula": "TaZnAg",
  "functional": "meta-GGA SCAN",
  "state": "PBEsol geometry",
  "m_tot_mub_per_fu": 0.0,
  "delta_e_f_kj_per_mol_fu": 20,
  "mass_density_g_cm3": 12.43,
  "lattice_angstrom": [[2.8544, 0.0000, 0.0000], [0.0000, 2.8544, 0.0000], [0.0000, 0.0000, 11.6156]],
  "species": ["Ta", "Ta", "Zn", "Zn", "Ag", "Ag"],
  "frac_coords": [[0.0000, 0.0000, 0.0000], [0.5000, 0.5000, 0.5000], [0.0000, 0.0000, 0.6603], [0.5000, 0.5000, 0.1603], [0.0000, 0.0000, 0.3169], [0.5000, 0.5000, 0.8169]]
}